Y3CrMo, relaxed, DFT PBE; total energy = -0.2480 Ha/atom; crystal system = cubic; spin magnetization = 0.24 μB per cell
1.0
5.278 0.000 0.000
0.000 5.278 0.000
0.000 0.000 5.278
Y Cr Mo
3 1 1
direct
0.000 0.000 0.500
0.000 0.500 0.000
0.500 0.000 0.000
0.500 0.500 0.500
0.000 0.000 0.000

Mg8Sc2Ag, relaxed, DFT PBE; total energy = -0.0965 Ha/atom; crystal system = tetragonal; spin magnetization = 0.00 μB per cell
1.0
4.788 0.000 0.000
0.000 4.788 0.000
0.000 0.000 10.986
Mg Sc Ag
8 2 1
direct
0.000 0.000 0.176
0.000 0.000 0.824
0.000 0.500 0.000
0.000 0.500 0.362
0.000 0.500 0.638
0.500 0.000 0.000
0.500 0.000 0.362
0.500 0.000 0.638
0.500 0.500 0.180
0.500 0.500 0.820
0.500 0.500 0.500

AcLu3, relaxed, DFT PBE; total energy = -0.1593 Ha/atom; crystal system = orthorhombic; spin magnetization = 0.00 μB per cell
1.0
3.685 0.000 0.000
0.000 5.738 0.000
0.000 0.000 6.243
Ac Lu
1 3
direct
0.000 0.000 0.000
0.000 0.500 0.655
0.500 0.000 0.496
0.500 0.500 0.171

DyTh5Sb6, relaxed, DFT PBE; total energy = -0.2380 Ha/atom; crystal system = monoclinic; ΔE_f (raw) = -941 meV/atom; spin magnetization = 0.00 μB per cell
1.0
3.883 -6.733 0.000
3.883 6.733 0.000
-2.598 0.000 7.330
Dy Th Sb
1 5 6
direct
0.000 0.000 0.000
0.169 0.831 0.500
0.334 0.666 0.000
0.500 0.500 0.500
0.666 0.334 0.000
0.831 0.169 0.500
0.081 0.409 0.246
0.244 0.244 0.751
0.409 0.081 0.246
0.591 0.919 0.754
0.756 0.756 0.249
0.919 0.591 0.754

What is the spin magnetization in the third record?
0.00 μB per cell